1.
Entry from Alexandria: a geometry-optimized CuAsRu2 structure (PBE-GGA).

The formation energy is 430 meV per atom. For the total magnetic moment, the calculation gives 0.9 μB/f.u. Its total energy is -6.39 eV per atom.

a = 2.7505 Å, b = 2.7505 Å, c = 8.9166 Å
α = 90.00°, β = 90.00°, γ = 118.68°
Site moments in Bohr magnetons follow the coordinates.
Sites, in units of the cell vectors:
Ru: 0.5000 0.5000 0.2486  0.21
Ru: 0.0000 0.0000 0.0017  0.62
Cu: 0.5000 0.5000 0.7546  0.02
As: 0.0000 0.0000 0.4951  0.00



2.
Entry from Alexandria: a geometry-optimized AcCeGaSb structure (PBE-GGA).

For the total magnetic moment, the calculation gives 1.6 μB/f.u. Its total energy is -4.84 eV per atom. For the uncorrected formation energy, the calculation gives -0.55 eV per atom.

a = 5.5186 Å, b = 5.5186 Å, c = 5.5186 Å
α = 60.00°, β = 60.00°, γ = 60.00°
Site moments in Bohr magnetons follow the coordinates.
Sites, in units of the cell vectors:
Ga: 0.2500 0.2500 0.2500  0.06
Sb: 0.7500 0.7500 0.7500  0.03
Ac: 0.0000 0.0000 0.0000  0.07
Ce: 0.5000 0.5000 0.5000  0.97